Ta2TlSi: relaxed, PBEsol.

```
Ta2TlSi
1.0
4.101 0.000 0.000
0.000 4.134 0.000
0.000 0.000 4.134
Si Ta Tl
1 2 1
Cartesian
2.050 0.000 0.000
0.000 0.000 2.067
0.000 2.067 0.000
2.050 2.067 2.067
```

formation energy from raw total energies: 0.373 eV per atom
uncorrected energy: -7.996 eV/atom
ρ: 14.08 g cm⁻³
total magnetic moment: 0.000 μB/cell